# 1
LaZn2Cd2 | PBE | optimized geometry

As for the formation energy: -0.071 eV per atom. For the excess energy over the best structure of this formula in the dataset, the calculation gives 227 meV/atom. As for the total magnetization: 0.0 μB/f.u. The value obtained for the final energy is -1.9317 eV per atom.

It has space group P4/mbm (No. 127), with a = 8.495 Å, b = 8.495 Å, c = 3.051 Å, α = 90.00°, β = 90.00° and γ = 90.00°. The distinct sites, in fractional coordinates, are La at (0.000, 0.000, 0.000), Zn at (0.172, 0.328, 0.500) and Cd at (0.125, 0.625, 0.000).


# 2
VNi14Ir | PBE | optimized geometry

As for the formation energy: -0.037 eV per atom. As for the total magnetization: 5.8 μB/f.u. The value obtained for the final energy is -6.2195 eV per atom.

It has space group P4/mmm (No. 123), with a = 5.056 Å, b = 5.056 Å, c = 7.031 Å, α = 90.00°, β = 90.00° and γ = 90.00°. The distinct sites, in fractional coordinates, are V at (0.000, 0.000, 0.000), Ni at (0.000, 0.000, 0.500), Ni at (0.000, 0.500, 0.000), Ni at (0.000, 0.500, 0.500), Ni at (0.248, 0.248, 0.252), Ni at (0.500, 0.500, 0.500) and Ir at (0.500, 0.500, 0.000).